Entry 1:
{"formula": "Hf3SbF", "functional": "GGA-PBEsol", "state": "optimized geometry", "dos_ef_per_ev_fu": 6.68, "spacegroup": "No. 221", "total_energy_ry_per_atom": -0.59942, "polymorph_energy_mev_per_atom": 0.0, "raw_formation_energy_kj_per_mol_atoms": -53.7, "cell": [[-1.785, 3.725, 1.705], [-2.532, -2.465, 2.735], [3.220, 0.127, 3.096]], "species": ["Sb", "Hf", "Hf", "Hf", "F"], "frac_coords": [[0.500, 0.500, 0.500], [0.000, 0.500, 0.000], [0.000, 0.000, 0.500], [0.500, 0.000, 0.000], [0.000, 0.000, 0.000]]}

---

Entry 2:
{"formula": "YTlRh2", "functional": "GGA-PBEsol", "state": "optimized geometry", "dos_ef_per_ev_fu": 2.84, "spacegroup": "No. 166", "total_energy_ry_per_atom": -0.47819, "cell": [[-2.511, -1.561, -1.518], [0.489, -2.983, -1.380], [-2.679, -5.067, 6.002]], "species": ["Rh", "Rh", "Tl", "Y"], "frac_coords": [[0.250, 0.250, 0.250], [0.750, 0.750, 0.750], [0.500, 0.500, 0.500], [0.000, 0.000, 0.000]]}

---

Entry 3:
{"formula": "SrH16O10", "functional": "GGA-PBEsol", "state": "optimized geometry", "dos_ef_per_ev_fu": 0.00, "spacegroup": "No. 9", "total_energy_ry_per_atom": -0.37590, "polymorph_energy_mev_per_atom": 16.1, "cell": [[6.330, -0.256, -0.028], [-0.446, 6.320, -0.028], [-0.172, -0.177, 11.168]], "species": ["Sr", "Sr", "H", "H", "H", "H", "H", "H", "H", "H", "H", "H", "H", "H", "H", "H", "H", "H", "H", "H", "H", "H", "H", "H", "H", "H", "H", "H", "H", "H", "H", "H", "H", "H", "O", "O", "O", "O", "O", "O", "O", "O", "O", "O", "O", "O", "O", "O", "O", "O", "O", "O", "O", "O"], "frac_coords": [[0.045, 0.948, 0.269], [0.948, 0.045, 0.769], [0.001, 0.405, 0.370], [0.850, 0.247, 0.449], [0.297, 0.569, 0.340], [0.185, 0.663, 0.457], [0.343, 0.129, 0.459], [0.450, 0.260, 0.348], [0.595, 0.940, 0.386], [0.622, 0.690, 0.355], [0.129, 0.343, 0.959], [0.260, 0.450, 0.848], [0.690, 0.622, 0.855], [0.940, 0.595, 0.886], [0.569, 0.297, 0.840], [0.663, 0.185, 0.957], [0.405, 0.001, 0.870], [0.247, 0.850, 0.949], [0.075, 0.705, 0.621], [0.321, 0.618, 0.639], [0.677, 0.359, 0.637], [0.919, 0.406, 0.603], [0.682, 0.661, 0.641], [0.769, 0.794, 0.526], [0.294, 0.992, 0.617], [0.354, 0.257, 0.641], [0.661, 0.682, 0.141], [0.794, 0.769, 0.026], [0.992, 0.294, 0.117], [0.257, 0.354, 0.141], [0.406, 0.919, 0.103], [0.359, 0.677, 0.137], [0.705, 0.075, 0.121], [0.618, 0.321, 0.139], [0.489, 0.491, 0.309], [0.491, 0.489, 0.809], [0.490, 0.480, 0.677], [0.480, 0.490, 0.177], [0.921, 0.258, 0.371], [0.153, 0.627, 0.369], [0.400, 0.107, 0.377], [0.703, 0.833, 0.389], [0.107, 0.400, 0.877], [0.833, 0.703, 0.889], [0.627, 0.153, 0.869], [0.258, 0.921, 0.871], [0.227, 0.721, 0.597], [0.808, 0.287, 0.611], [0.808, 0.761, 0.613], [0.247, 0.137, 0.608], [0.761, 0.808, 0.113], [0.137, 0.247, 0.108], [0.287, 0.808, 0.111], [0.721, 0.227, 0.097]]}

---

Entry 4:
{"formula": "Zr2CoTcTe", "functional": "GGA-PBEsol", "state": "optimized geometry", "dos_ef_per_ev_fu": 4.82, "spacegroup": "No. 123", "total_energy_ry_per_atom": -0.56364, "raw_formation_energy_kj_per_mol_atoms": 45.7, "cell": [[4.216, 0.000, 0.000], [0.000, 5.046, 0.000], [0.000, 0.000, 5.046]], "species": ["Te", "Co", "Tc", "Zr", "Zr"], "frac_coords": [[0.500, 0.500, 0.500], [0.500, 0.000, 0.000], [0.000, 0.000, 0.000], [0.000, 0.000, 0.500], [0.000, 0.500, 0.000]]}

---

Entry 5:
{"formula": "NaIrPd3", "functional": "GGA-PBEsol", "state": "optimized geometry", "dos_ef_per_ev_fu": 7.36, "spacegroup": "No. 221", "total_energy_ry_per_atom": -0.30839, "cell": [[4.379, 0.000, 0.000], [0.000, 4.379, 0.000], [0.000, 0.000, 4.379]], "species": ["Na", "Ir", "Pd", "Pd", "Pd"], "frac_coords": [[0.000, 0.000, 0.000], [0.500, 0.500, 0.500], [0.000, 0.500, 0.000], [0.000, 0.000, 0.500], [0.500, 0.000, 0.000]]}

---

Entry 6:
{"formula": "NdTlMo2O8", "functional": "GGA-PBEsol", "state": "optimized geometry", "dos_ef_per_ev_fu": 0.00, "spacegroup": "No. 126", "total_energy_ry_per_atom": -0.61412, "raw_formation_energy_kj_per_mol_atoms": -216.6, "cell": [[-3.332, 5.115, 1.161], [-2.370, -2.695, 5.073], [7.197, 3.503, 5.224]], "species": ["Nd", "Nd", "Tl", "Tl", "Mo", "Mo", "Mo", "Mo", "O", "O", "O", "O", "O", "O", "O", "O", "O", "O", "O", "O", "O", "O", "O", "O"], "frac_coords": [[0.000, 0.000, 0.000], [0.500, 0.500, 0.500], [0.000, 0.000, 0.500], [0.500, 0.500, 0.000], [0.000, 0.500, 0.750], [0.000, 0.500, 0.250], [0.500, 0.000, 0.750], [0.500, 0.000, 0.250], [0.381, 0.194, 0.361], [0.381, 0.806, 0.639], [0.119, 0.694, 0.861], [0.619, 0.194, 0.639], [0.119, 0.306, 0.139], [0.806, 0.381, 0.361], [0.306, 0.119, 0.861], [0.194, 0.619, 0.361], [0.881, 0.694, 0.139], [0.694, 0.881, 0.861], [0.619, 0.806, 0.361], [0.806, 0.619, 0.639], [0.194, 0.381, 0.639], [0.881, 0.306, 0.861], [0.306, 0.881, 0.139], [0.694, 0.119, 0.139]]}